1.
Here is Ce6Th8Sc after structural relaxation from Alexandria via LeMat-Bulk. Energies are from GGA-PBE.

Structure (CIF):
```
data_Ce6Th8Sc
_chemical_formula_sum 'Ce6 Th8 Sc1'
_cell_length_a 9.840
_cell_length_b 9.840
_cell_length_c 5.726
_cell_angle_alpha 90.00
_cell_angle_beta 90.00
_cell_angle_gamma 120.00
_symmetry_space_group_name_H-M 'P 1'
_symmetry_Int_Tables_number 1
_symmetry_space_group_name_Hall 'P 1'
loop_
_atom_site_label
_atom_site_fract_x
_atom_site_fract_y
_atom_site_fract_z
_atom_site_occupancy
Ce1 0.144 0.703 0.467 1
Ce2 0.297 0.441 0.467 1
Ce3 0.441 0.144 0.533 1
Ce4 0.559 0.856 0.467 1
Ce5 0.703 0.559 0.533 1
Ce6 0.856 0.297 0.533 1
Th1 0.019 0.326 0.062 1
Th2 0.307 0.981 0.062 1
Th3 0.326 0.307 0.938 1
Th4 0.333 0.667 0.951 1
Th5 0.667 0.333 0.049 1
Th6 0.674 0.693 0.062 1
Th7 0.693 0.019 0.938 1
Th8 0.981 0.674 0.938 1
Sc1 0.000 0.000 0.500 1
```

=====

2.
# GGA-PBE CeTh2Sc6, optimized geometry
# Excess energy over the best structure of this formula in the dataset (meV/atom): 0
data_CeTh2Sc6
_chemical_formula_sum 'Ce1 Th2 Sc6'
_cell_length_a 3.363
_cell_length_b 3.363
_cell_length_c 24.812
_cell_angle_alpha 90.00
_cell_angle_beta 90.00
_cell_angle_gamma 120.00
_symmetry_space_group_name_H-M 'P 1'
_symmetry_Int_Tables_number 1
_symmetry_space_group_name_Hall 'P 1'
loop_
_atom_site_label
_atom_site_fract_x
_atom_site_fract_y
_atom_site_fract_z
_atom_site_occupancy
Ce1 0.000 0.000 0.000 1
Th1 0.333 0.667 0.329 1
Th2 0.333 0.667 0.671 1
Sc1 0.000 0.000 0.214 1
Sc2 0.000 0.000 0.440 1
Sc3 0.000 0.000 0.560 1
Sc4 0.000 0.000 0.786 1
Sc5 0.333 0.667 0.111 1
Sc6 0.333 0.667 0.889 1

=====

3.
# GGA-PBE CeTh2Sc6, optimized geometry
# Excess energy over the best structure of this formula in the dataset (meV/atom): 4
data_CeTh2Sc6
_chemical_formula_sum 'Ce2 Th4 Sc12'
_cell_length_a 12.213
_cell_length_b 12.213
_cell_length_c 3.358
_cell_angle_alpha 97.82
_cell_angle_beta 97.82
_cell_angle_gamma 83.35
_symmetry_space_group_name_H-M 'P 1'
_symmetry_Int_Tables_number 1
_symmetry_space_group_name_Hall 'P 1'
loop_
_atom_site_label
_atom_site_fract_x
_atom_site_fract_y
_atom_site_fract_z
_atom_site_occupancy
Ce1 0.250 0.750 0.750 1
Ce2 0.750 0.250 0.250 1
Th1 0.159 0.341 0.499 1
Th2 0.341 0.159 0.999 1
Th3 0.659 0.841 0.001 1
Th4 0.841 0.659 0.501 1
Sc1 0.003 0.168 0.836 1
Sc2 0.084 0.584 0.085 1
Sc3 0.168 0.003 0.336 1
Sc4 0.332 0.497 0.159 1
Sc5 0.416 0.916 0.415 1
Sc6 0.497 0.332 0.659 1
Sc7 0.503 0.668 0.341 1
Sc8 0.584 0.084 0.585 1
Sc9 0.668 0.503 0.841 1
Sc10 0.832 0.997 0.664 1
Sc11 0.916 0.416 0.915 1
Sc12 0.997 0.832 0.164 1

=====

4.
# GGA-PBE CeTh2Sc3, optimized geometry
# Excess energy over the best structure of this formula in the dataset (meV/atom): 0
data_CeTh2Sc3
_chemical_formula_sum 'Ce2 Th4 Sc6'
_cell_length_a 6.756
_cell_length_b 9.380
_cell_length_c 5.382
_cell_angle_alpha 90.00
_cell_angle_beta 90.00
_cell_angle_gamma 90.00
_symmetry_space_group_name_H-M 'P 1'
_symmetry_Int_Tables_number 1
_symmetry_space_group_name_Hall 'P 1'
loop_
_atom_site_label
_atom_site_fract_x
_atom_site_fract_y
_atom_site_fract_z
_atom_site_occupancy
Ce1 0.000 0.000 0.000 1
Ce2 0.500 0.500 0.500 1
Th1 0.239 0.330 0.000 1
Th2 0.261 0.830 0.500 1
Th3 0.739 0.170 0.500 1
Th4 0.761 0.670 0.000 1
Sc1 0.000 0.500 0.500 1
Sc2 0.247 0.164 0.500 1
Sc3 0.253 0.664 0.000 1
Sc4 0.500 0.000 0.000 1
Sc5 0.747 0.336 0.000 1
Sc6 0.753 0.836 0.500 1

=====

5.
Here is CeTh3Sc2 after structural relaxation from Alexandria via LeMat-Bulk. Energies are from GGA-PBE.

Structure (CIF):
```
data_CeTh3Sc2
_chemical_formula_sum 'Ce1 Th3 Sc2'
_cell_length_a 3.540
_cell_length_b 3.540
_cell_length_c 13.854
_cell_angle_alpha 90.00
_cell_angle_beta 90.00
_cell_angle_gamma 90.00
_symmetry_space_group_name_H-M 'P 1'
_symmetry_Int_Tables_number 1
_symmetry_space_group_name_Hall 'P 1'
loop_
_atom_site_label
_atom_site_fract_x
_atom_site_fract_y
_atom_site_fract_z
_atom_site_occupancy
Ce1 0.000 0.000 0.000 1
Th1 0.500 0.500 0.172 1
Th2 0.500 0.500 0.500 1
Th3 0.500 0.500 0.828 1
Sc1 0.000 0.000 0.337 1
Sc2 0.000 0.000 0.663 1
```

=====

6.
Here is Ce3Th2Sc after structural relaxation from Alexandria via LeMat-Bulk. Energies are from GGA-PBE.

Structure (CIF):
```
data_Ce3Th2Sc
_chemical_formula_sum 'Ce6 Th4 Sc2'
_cell_length_a 5.891
_cell_length_b 6.863
_cell_length_c 9.098
_cell_angle_alpha 101.49
_cell_angle_beta 96.11
_cell_angle_gamma 106.46
_symmetry_space_group_name_H-M 'P 1'
_symmetry_Int_Tables_number 1
_symmetry_space_group_name_Hall 'P 1'
loop_
_atom_site_label
_atom_site_fract_x
_atom_site_fract_y
_atom_site_fract_z
_atom_site_occupancy
Ce1 0.245 0.203 0.081 1
Ce2 0.248 0.869 0.752 1
Ce3 0.252 0.542 0.422 1
Ce4 0.748 0.458 0.578 1
Ce5 0.752 0.131 0.248 1
Ce6 0.755 0.797 0.919 1
Th1 0.247 0.043 0.416 1
Th2 0.255 0.699 0.088 1
Th3 0.745 0.301 0.912 1
Th4 0.753 0.957 0.584 1
Sc1 0.248 0.371 0.750 1
Sc2 0.752 0.629 0.250 1
```

=====

Which E_form belongs to each record? In order, 0.34, 0.10, 0.11, 0.17, 0.03, 0.05 eV/atom.